An optimized crystal structure of Lu2HgIr, computed with PBE.

The structure in POSCAR format:
```
Lu2HgIr
1.0
0.0000 3.4220 3.4220
3.4220 0.0000 3.4220
3.4220 3.4220 0.0000
Lu Hg Ir
2 1 1
direct
0.0000 0.0000 0.0000 Lu
0.2500 0.2500 0.2500 Lu
0.7500 0.7500 0.7500 Hg
0.5000 0.5000 0.5000 Ir
```

Output
Formation enthalpy at 0 K, kJ/mol of formula units: -126

=====

An optimized crystal structure of LuHgIr2, computed with PBE.

The structure in POSCAR format:
```
LuHgIr2
1.0
0.0000 3.3168 3.3168
3.3168 0.0000 3.3168
3.3168 3.3168 0.0000
Lu Hg Ir
1 1 2
direct
0.0000 0.0000 0.0000 Lu
0.7500 0.7500 0.7500 Hg
0.2500 0.2500 0.2500 Ir
0.5000 0.5000 0.5000 Ir
```

Output
Formation enthalpy at 0 K, kJ/mol of formula units: -5

=====

An optimized crystal structure of Nd3Mg3HgIr2, computed with PBE.

The structure in POSCAR format:
```
Nd3Mg3HgIr2
1.0
7.5817 0.0000 0.0000
-3.7908 6.5659 0.0000
0.0000 0.0000 4.1916
Nd Mg Hg Ir
3 3 1 2
direct
0.0000 0.4233 0.0000 Nd
0.4233 0.0000 0.0000 Nd
0.5767 0.5767 0.0000 Nd
0.0000 0.7439 0.5000 Mg
0.2561 0.2561 0.5000 Mg
0.7439 0.0000 0.5000 Mg
0.0000 0.0000 0.0000 Hg
0.3333 0.6667 0.5000 Ir
0.6667 0.3333 0.5000 Ir
```

=====

Sequential energy output: -4.88 -5.65 -4.62 eV per atom